Record 1
# ReAs2H (PBE, optimized geometry)
data_ReAs2H
_cell_length_a 5.285
_cell_length_b 5.285
_cell_length_c 9.715
_cell_angle_alpha 90.00
_cell_angle_beta 90.00
_cell_angle_gamma 90.00
_space_group_name_H-M_alt 'I -4 2 d'
_space_group_IT_number 122
_space_group_name_Hall 'I -4 2bw'
loop_
_atom_site_label
_atom_site_type_symbol
_atom_site_fract_x
_atom_site_fract_y
_atom_site_fract_z
_atom_site_occupancy
Re1 Re 0.000 0.000 0.000 1
As1 As 0.201 0.250 0.625 1
H1 H 0.000 0.000 0.500 1
# * energy relative to the lowest polymorph listed for this composition: 0 meV/atom
# * N(E_F): 6.929 states/eV per cell
# * energy: -5.592 eV per atom



Record 2
# ReSbAsH2 (PBE, optimized geometry)
data_ReSbAsH2
_cell_length_a 3.721
_cell_length_b 3.721
_cell_length_c 5.311
_cell_angle_alpha 90.00
_cell_angle_beta 90.00
_cell_angle_gamma 90.00
_space_group_name_H-M_alt 'P 4/m m m'
_space_group_IT_number 123
_space_group_name_Hall '-P 4 2'
loop_
_atom_site_label
_atom_site_type_symbol
_atom_site_fract_x
_atom_site_fract_y
_atom_site_fract_z
_atom_site_occupancy
Re1 Re 0.000 0.000 0.000 1
Sb1 Sb 0.500 0.500 0.000 1
As1 As 0.000 0.000 0.500 1
H1 H 0.000 0.500 0.500 1
# * N(E_F): 2.844 states/eV per cell
# * energy: -4.943 eV per atom



Record 3
# ReAs2HSe (PBE, optimized geometry)
data_ReAs2HSe
_cell_length_a 3.891
_cell_length_b 3.891
_cell_length_c 4.902
_cell_angle_alpha 90.00
_cell_angle_beta 90.00
_cell_angle_gamma 90.00
_space_group_name_H-M_alt 'P 4/m m m'
_space_group_IT_number 123
_space_group_name_Hall '-P 4 2'
loop_
_atom_site_label
_atom_site_type_symbol
_atom_site_fract_x
_atom_site_fract_y
_atom_site_fract_z
_atom_site_occupancy
Re1 Re 0.000 0.000 0.000 1
As1 As 0.000 0.500 0.500 1
H1 H 0.500 0.500 0.500 1
Se1 Se 0.500 0.500 0.000 1
# * energy relative to the lowest polymorph listed for this composition: 29 meV/atom
# * N(E_F): 3.295 states/eV per cell
# * energy: -4.722 eV per atom



Record 4
# ReAs2HSe (PBE, optimized geometry)
data_ReAs2HSe
_cell_length_a 4.829
_cell_length_b 4.829
_cell_length_c 4.844
_cell_angle_alpha 90.00
_cell_angle_beta 90.00
_cell_angle_gamma 90.00
_space_group_name_H-M_alt 'P 4/m m m'
_space_group_IT_number 123
_space_group_name_Hall '-P 4 2'
loop_
_atom_site_label
_atom_site_type_symbol
_atom_site_fract_x
_atom_site_fract_y
_atom_site_fract_z
_atom_site_occupancy
Re1 Re 0.000 0.000 0.000 1
As1 As 0.000 0.500 0.000 1
H1 H 0.500 0.500 0.500 1
Se1 Se 0.000 0.000 0.500 1
# * energy relative to the lowest polymorph listed for this composition: 0 meV/atom
# * N(E_F): 5.446 states/eV per cell
# * energy: -4.751 eV per atom